KAgPbI4 PBE optimized geometry; energy = -37.90 eV per cell; total magnetization = 0.00 μB/cell; uncorrected formation energy = -5.1 eV/f.u.; space-group type = P2_1/m, No. 11; density of states at the Fermi level = 0.000 states/eV per atom
1.0
-1.2393 6.9021 3.1449
-5.9578 1.5892 -5.8355
-5.8433 -6.1821 4.2822
I K Pb Ag
8 2 2 2
Direct
0.0221 0.5125 0.7306
0.9779 0.0125 0.2694
0.5198 0.2500 0.3954
0.4609 0.7500 0.1420
0.4802 0.7500 0.6046
0.9779 0.4875 0.2694
0.5391 0.2500 0.8580
0.0221 0.9875 0.7306
0.7899 0.7500 0.9519
0.2101 0.2500 0.0481
0.2160 0.2500 0.5551
0.7840 0.7500 0.4449
0.2199 0.7500 0.3193
0.7801 0.2500 0.6807